No. 1
! PuHgPd (PBE-GGA, relaxed); values from VASP
! * formation enthalpy at 0 K: -0.847 eV per formula unit
! * symmetry: No. 107
&SYSTEM
  ibrav = 0, nat = 3, ntyp = 3
/
ATOMIC_SPECIES
Hg 200.59 Hg.upf
Pd 106.42 Pd.upf
Pu 244.00 Pu.upf
ATOMIC_POSITIONS angstrom
Hg 0.3911 -2.6998 0.8440
Pd -0.9909 -0.9693 2.7506
Pu -0.6904 -3.7577 3.8461
CELL_PARAMETERS angstrom
-1.2790 -2.8556 -1.4670
3.0117 -1.6141 0.5161
-2.6446 0.4954 5.4117

No. 2
! Te2MoNCl (PBE-GGA, relaxed); values from VASP
! * symmetry: No. 123
! * energy relative to the elements, uncorrected: 1.28 eV per formula unit
&SYSTEM
  ibrav = 0, nat = 5, ntyp = 4
/
ATOMIC_SPECIES
Te 127.60 Te.upf
Cl 35.45 Cl.upf
Mo 95.94 Mo.upf
N 14.01 N.upf
ATOMIC_POSITIONS angstrom
Te 2.7382 0.0000 0.0000
Te 0.0000 2.7382 0.0000
Cl 2.7382 2.7382 1.8944
Mo 0.0000 0.0000 0.0000
N 0.0000 0.0000 1.8944
CELL_PARAMETERS angstrom
5.4765 0.0000 0.0000
0.0000 5.4765 0.0000
0.0000 0.0000 3.7887

No. 3
! CePdC (PBE-GGA, relaxed); values from VASP
! * formation enthalpy at 0 K: -0.389 eV per formula unit
! * symmetry: No. 63
&SYSTEM
  ibrav = 0, nat = 6, ntyp = 3
/
ATOMIC_SPECIES
C 12.01 C.upf
Pd 106.42 Pd.upf
Ce 140.12 Ce.upf
ATOMIC_POSITIONS angstrom
C 0.7265 3.4832 8.9842
C 2.1794 1.7416 0.3540
Pd 0.7265 1.7416 3.8591
Pd 2.1794 3.4832 5.4791
Ce 0.7265 3.4832 1.6553
Ce 2.1794 1.7416 7.6829
CELL_PARAMETERS angstrom
2.9059 0.0000 0.0000
0.0000 3.4832 0.0000
0.0000 1.7416 9.3382

No. 4
! InFeAg2 (PBE-GGA, relaxed); values from VASP
! * formation enthalpy at 0 K: 1.216 eV per formula unit
! * symmetry: No. 160
&SYSTEM
  ibrav = 0, nat = 4, ntyp = 3
/
ATOMIC_SPECIES
Ag 107.87 Ag.upf
In 114.82 In.upf
Fe 55.84 Fe.upf
ATOMIC_POSITIONS angstrom
Ag -3.9414 3.1860 4.4886
Ag -16.0149 12.9454 18.2383
In -12.1029 9.7832 13.7832
Fe -8.0443 6.5025 9.1612
CELL_PARAMETERS angstrom
-6.6435 4.3333 4.9434
-5.1724 2.9945 7.1854
-4.2255 5.6390 6.1398

No. 5
! La5PuAg4 (PBE-GGA, relaxed); values from VASP
! * formation enthalpy at 0 K: -1.615 eV per formula unit
! * symmetry: No. 123
&SYSTEM
  ibrav = 0, nat = 10, ntyp = 3
/
ATOMIC_SPECIES
Ag 107.87 Ag.upf
La 138.91 La.upf
Pu 244.00 Pu.upf
ATOMIC_POSITIONS angstrom
Ag 1.9596 -10.1775 6.3104
Ag 1.3273 -6.8936 4.2743
Ag 0.6872 -3.5692 2.2131
Ag 2.5997 -13.5019 8.3717
La -0.9757 -8.8195 5.6477
La 0.2907 -15.3967 9.7259
La -0.3414 -12.1138 7.6904
La -2.2421 -2.2423 1.5696
La -1.6100 -5.5252 3.6051
Pu 0.0000 0.0000 0.0000
CELL_PARAMETERS angstrom
-2.4688 1.1355 2.5980
-2.7695 -1.7034 -1.8873
3.2869 -17.0711 10.5848

No. 6
! Ba3YIr2O9 (PBE-GGA, relaxed); values from VASP
! * symmetry: No. 194
! * energy relative to the elements, uncorrected: -14.96 eV per formula unit
&SYSTEM
  ibrav = 0, nat = 30, ntyp = 4
/
ATOMIC_SPECIES
O 16.00 O.upf
Y 88.91 Y.upf
Ba 137.33 Ba.upf
Ir 192.22 Ir.upf
ATOMIC_POSITIONS angstrom
O 3.4667 -0.5527 11.4005
O 2.2120 2.7259 3.8002
O 1.3975 -0.8069 6.0230
O 1.3975 -0.8069 1.5774
O 1.3975 0.8069 9.1777
O 3.4667 0.5527 3.8002
O 5.5359 0.8069 13.6233
O 3.4667 4.3908 9.1777
O 5.5359 0.8069 9.1777
O 5.5359 -0.8069 1.5774
O 5.5359 -0.8069 6.0230
O 3.4667 4.3908 13.6233
O 1.3975 0.8069 13.6233
O 3.4667 -4.3908 1.5774
O 3.4667 -4.3908 6.0230
O 4.7215 2.7259 3.8002
O 4.7215 -2.7259 11.4005
O 2.2120 -2.7259 11.4005
Y 0.0000 0.0000 7.6004
Y 0.0000 0.0000 0.0000
Ba 3.4667 -2.0015 1.7403
Ba 0.0000 0.0000 11.4005
Ba 3.4667 2.0015 9.3407
Ba 3.4667 -2.0015 5.8600
Ba 0.0000 0.0000 3.8002
Ba 3.4667 2.0015 13.4604
Ir 3.4667 2.0015 2.4475
Ir 3.4667 -2.0015 12.7532
Ir 3.4667 2.0015 5.1529
Ir 3.4667 -2.0015 10.0478
CELL_PARAMETERS angstrom
3.4667 -6.0045 0.0000
3.4667 6.0045 0.0000
0.0000 0.0000 15.2007

no.,energy (eV/cell),DOS at the Fermi energy (states/eV/f.u.)
1,-20.67,10.06
2,-26.00,4.47
3,-41.48,3.35
4,-15.69,2.41
5,-51.99,14.87
6,-179.08,13.15